This record from Alexandria describes a geometry-optimized La4PrNd7 structure. The functional is PBE-GGA. Values from VASP.

The structure in Quantum ESPRESSO input format:
```
&SYSTEM
  ibrav = 0, nat = 12, ntyp = 3
/
ATOMIC_SPECIES
La 138.91 La.upf
Pr 140.91 Pr.upf
Nd 144.24 Nd.upf
ATOMIC_POSITIONS crystal
La 0.637 0.223 0.503
La 0.363 0.777 0.497
La 0.765 0.674 0.796
La 0.235 0.326 0.204
Pr 0.000 0.000 0.000
Nd 0.789 0.922 0.500
Nd 0.211 0.078 0.500
Nd 0.065 0.679 0.191
Nd 0.935 0.321 0.809
Nd 0.369 0.499 0.764
Nd 0.500 0.000 0.000
Nd 0.631 0.501 0.236
CELL_PARAMETERS angstrom
6.191 0.000 0.000
3.095 11.673 -0.325
3.095 0.132 6.164
```

V   37.14 Å³ per atom
Size of the total moment   0.0 μB per cell
Space group   C2/m
Electronic total energy   -4.6133 eV/atom
DOS at the Fermi energy   20.28 states/eV/f.u.
Energy of formation from the pure elements   0.209 eV/atom



This record from Alexandria describes a geometry-optimized ScTcNi2C structure. The functional is PBE-GGA. Values from VASP.

The structure in Quantum ESPRESSO input format:
```
&SYSTEM
  ibrav = 0, nat = 5, ntyp = 4
/
ATOMIC_SPECIES
Sc 44.96 Sc.upf
Ni 58.69 Ni.upf
C 12.01 C.upf
Tc 98.00 Tc.upf
ATOMIC_POSITIONS crystal
Sc 0.500 0.500 0.500
Ni 0.000 0.500 0.000
Ni 0.500 0.000 0.000
C 0.000 0.000 0.000
Tc 0.000 0.000 0.500
CELL_PARAMETERS angstrom
-0.851 3.780 0.293
-0.439 0.200 -3.855
-3.959 -0.923 0.403
```

V   12.33 Å³ per atom
Size of the total moment   0.0 μB per cell
Space group   P4/mmm
Electronic total energy   -7.7775 eV/atom
DOS at the Fermi energy   1.11 states/eV/f.u.
Energy of formation from the pure elements   -0.281 eV/atom



This record from Alexandria describes a geometry-optimized Ce4Tl3Ru structure. The functional is PBE-GGA. Values from VASP.

The structure in Quantum ESPRESSO input format:
```
&SYSTEM
  ibrav = 0, nat = 16, ntyp = 3
/
ATOMIC_SPECIES
Ce 140.12 Ce.upf
Tl 204.38 Tl.upf
Ru 101.07 Ru.upf
ATOMIC_POSITIONS crystal
Ce 0.226 0.040 0.000
Ce 0.523 0.400 0.000
Ce 0.011 0.223 0.199
Ce 0.511 0.777 0.301
Ce 0.023 0.600 0.500
Ce 0.726 0.960 0.500
Ce 0.511 0.777 0.699
Ce 0.011 0.223 0.801
Tl 0.713 0.879 0.000
Tl 0.024 0.722 0.209
Tl 0.524 0.278 0.291
Tl 0.213 0.121 0.500
Tl 0.524 0.278 0.709
Tl 0.024 0.722 0.791
Ru 0.985 0.446 0.000
Ru 0.485 0.554 0.500
CELL_PARAMETERS angstrom
-1.447 -5.414 2.540
2.203 -3.090 -5.331
9.885 -0.571 4.416
```

V   27.28 Å³ per atom
Size of the total moment   3.4 μB per cell
Space group   Pmn2_1
Electronic total energy   -5.1405 eV/atom
DOS at the Fermi energy   14.96 states/eV/f.u.
Energy of formation from the pure elements   -0.127 eV/atom



This record from Alexandria describes a geometry-optimized Ba2AgB2Se6 structure. The functional is PBE-GGA. Values from VASP.

The structure in Quantum ESPRESSO input format:
```
&SYSTEM
  ibrav = 0, nat = 11, ntyp = 4
/
ATOMIC_SPECIES
Ba 137.33 Ba.upf
Ag 107.87 Ag.upf
B 10.81 B.upf
Se 78.96 Se.upf
ATOMIC_POSITIONS crystal
Ba 0.779 0.779 0.662
Ba 0.221 0.221 0.338
Ag 0.000 0.000 0.000
B 0.419 0.419 0.742
B 0.581 0.581 0.258
Se 0.742 0.742 0.266
Se 0.250 0.742 0.266
Se 0.742 0.250 0.266
Se 0.258 0.750 0.734
Se 0.750 0.258 0.734
Se 0.258 0.258 0.734
CELL_PARAMETERS angstrom
6.890 0.000 0.000
3.445 5.967 0.000
3.445 1.989 7.429
```

V   27.76 Å³ per atom
Size of the total moment   0.0 μB per cell
Space group   R-3m
Electronic total energy   -4.4538 eV/atom
DOS at the Fermi energy   5.86 states/eV/f.u.
ΔE_f (raw)   -0.7303 eV per atom



This record from Alexandria describes a geometry-optimized KRe2Rh structure. The functional is PBE-GGA. Values from VASP.

The structure in Quantum ESPRESSO input format:
```
&SYSTEM
  ibrav = 0, nat = 4, ntyp = 3
/
ATOMIC_SPECIES
K 39.10 K.upf
Re 186.21 Re.upf
Rh 102.91 Rh.upf
ATOMIC_POSITIONS crystal
K 0.000 0.500 0.500
Re 0.000 0.000 0.000
Re 0.500 0.500 0.000
Rh 0.500 0.000 0.500
CELL_PARAMETERS angstrom
5.588 0.004 0.000
-3.072 4.668 0.000
0.000 0.000 2.639
```

V   17.21 Å³ per atom
Size of the total moment   0.0 μB per cell
Space group   Cmmm
Electronic total energy   -7.0019 eV/atom
DOS at the Fermi energy   4.88 states/eV/f.u.
Energy of formation from the pure elements   1.334 eV/atom



This record from Alexandria describes a geometry-optimized Ba2PW structure. The functional is PBE-GGA. Values from VASP.

The structure in Quantum ESPRESSO input format:
```
&SYSTEM
  ibrav = 0, nat = 4, ntyp = 3
/
ATOMIC_SPECIES
Ba 137.33 Ba.upf
P 30.97 P.upf
W 183.84 W.upf
ATOMIC_POSITIONS crystal
Ba 0.017 0.017 0.950
Ba 0.483 0.483 0.550
P 0.750 0.750 0.750
W 0.250 0.250 0.250
CELL_PARAMETERS angstrom
4.653 -0.006 0.013
2.336 4.024 0.013
2.295 1.319 8.585
```

V   40.18 Å³ per atom
Size of the total moment   5.0 μB per cell
Space group   C2/m
Electronic total energy   -4.7278 eV/atom
DOS at the Fermi energy   2.74 states/eV/f.u.
Energy of formation from the pure elements   0.824 eV/atom



This record from Alexandria describes a geometry-optimized LaAgSnTe3 structure. The functional is PBE-GGA. Values from VASP.

The structure in Quantum ESPRESSO input format:
```
&SYSTEM
  ibrav = 0, nat = 12, ntyp = 4
/
ATOMIC_SPECIES
La 138.91 La.upf
Ag 107.87 Ag.upf
Sn 118.71 Sn.upf
Te 127.60 Te.upf
ATOMIC_POSITIONS crystal
La 0.250 0.170 0.238
La 0.750 0.830 0.762
Ag 0.250 0.079 0.580
Ag 0.750 0.921 0.420
Sn 0.250 0.661 0.157
Sn 0.750 0.339 0.843
Te 0.750 0.906 0.124
Te 0.250 0.094 0.876
Te 0.250 0.755 0.506
Te 0.750 0.245 0.494
Te 0.750 0.409 0.160
Te 0.250 0.591 0.840
CELL_PARAMETERS angstrom
-1.580 0.291 4.077
7.385 -4.495 3.182
3.084 9.314 0.530
```

V   32.44 Å³ per atom
Size of the total moment   0.0 μB per cell
Space group   P2_1/m
Electronic total energy   -4.3071 eV/atom
ΔE_f (raw)   -0.7727 eV per atom



This record from Alexandria describes a geometry-optimized Ag3HW structure. The functional is PBE-GGA. Values from VASP.

The structure in Quantum ESPRESSO input format:
```
&SYSTEM
  ibrav = 0, nat = 5, ntyp = 3
/
ATOMIC_SPECIES
H 1.01 H.upf
Ag 107.87 Ag.upf
W 183.84 W.upf
ATOMIC_POSITIONS crystal
H 0.000 0.000 0.000
Ag 0.000 0.500 0.000
Ag 0.000 0.000 0.500
Ag 0.500 0.000 0.000
W 0.500 0.500 0.500
CELL_PARAMETERS angstrom
-1.785 0.084 -3.771
-1.702 -3.741 0.723
-3.366 1.847 1.635
```

V   14.53 Å³ per atom
Size of the total moment   1.1 μB per cell
Space group   Pm-3m
Electronic total energy   -3.9574 eV/atom
DOS at the Fermi energy   4.88 states/eV/f.u.



This record from Alexandria describes a geometry-optimized ZrTl3Br structure. The functional is PBE-GGA. Values from VASP.

The structure in Quantum ESPRESSO input format:
```
&SYSTEM
  ibrav = 0, nat = 5, ntyp = 3
/
ATOMIC_SPECIES
Tl 204.38 Tl.upf
Br 79.90 Br.upf
Zr 91.22 Zr.upf
ATOMIC_POSITIONS crystal
Tl 0.000 0.500 0.000
Tl 0.000 0.000 0.500
Tl 0.500 0.000 0.000
Br 0.000 0.000 0.000
Zr 0.500 0.500 0.500
CELL_PARAMETERS angstrom
-2.367 -5.054 -1.703
5.333 -2.221 -0.820
0.062 -1.890 5.520
```

V   39.73 Å³ per atom
Size of the total moment   2.6 μB per cell
Space group   Pm-3m
Electronic total energy   -2.7424 eV/atom
DOS at the Fermi energy   5.73 states/eV/f.u.
ΔE_f (raw)   0.7216 eV per atom



This record from Alexandria describes a geometry-optimized VCuHg3 structure. The functional is PBE-GGA. Values from VASP.

The structure in Quantum ESPRESSO input format:
```
&SYSTEM
  ibrav = 0, nat = 5, ntyp = 3
/
ATOMIC_SPECIES
Hg 200.59 Hg.upf
Cu 63.55 Cu.upf
V 50.94 V.upf
ATOMIC_POSITIONS crystal
Hg 0.000 0.500 0.000
Hg 0.000 0.000 0.500
Hg 0.500 0.000 0.000
Cu 0.500 0.500 0.500
V 0.000 0.000 0.000
CELL_PARAMETERS angstrom
-4.752 -2.181 1.072
1.202 -4.156 -3.126
2.112 -2.542 4.192
```

V   30.42 Å³ per atom
Size of the total moment   3.5 μB per cell
Space group   Pm-3m
Electronic total energy   -1.9125 eV/atom
DOS at the Fermi energy   4.21 states/eV/f.u.
Energy of formation from the pure elements   0.911 eV/atom



This record from Alexandria describes a geometry-optimized Sr4Pb2S structure. The functional is PBE-GGA. Values from VASP.

The structure in Quantum ESPRESSO input format:
```
&SYSTEM
  ibrav = 0, nat = 7, ntyp = 3
/
ATOMIC_SPECIES
Pb 207.20 Pb.upf
Sr 87.62 Sr.upf
S 32.06 S.upf
ATOMIC_POSITIONS crystal
Pb 0.615 0.615 0.230
Pb 0.385 0.385 0.770
Sr 0.818 0.818 0.637
Sr 0.182 0.182 0.363
Sr 0.000 0.500 0.000
Sr 0.500 0.000 0.000
S 0.000 0.000 0.000
CELL_PARAMETERS angstrom
5.795 0.000 0.000
0.000 5.795 0.000
-2.898 -2.898 8.046
```

V   38.60 Å³ per atom
Size of the total moment   0.0 μB per cell
Space group   I4/mmm
Electronic total energy   -3.4822 eV/atom
DOS at the Fermi energy   0.67 states/eV/f.u.
ΔE_f (raw)   -0.8720 eV per atom



This record from Alexandria describes a geometry-optimized Y5HoErTh2 structure. The functional is PBE-GGA. Values from VASP.

The structure in Quantum ESPRESSO input format:
```
&SYSTEM
  ibrav = 0, nat = 18, ntyp = 4
/
ATOMIC_SPECIES
Y 88.91 Y.upf
Ho 164.93 Ho.upf
Er 167.26 Er.upf
Th 232.04 Th.upf
ATOMIC_POSITIONS crystal
Y 0.929 0.429 0.280
Y 0.649 0.149 0.720
Y 0.071 0.571 0.720
Y 0.149 0.071 0.720
Y 0.571 0.649 0.720
Y 0.851 0.929 0.280
Y 0.429 0.351 0.280
Y 0.351 0.851 0.280
Y 0.500 0.500 0.000
Y 0.000 0.000 0.000
Ho 0.250 0.250 0.500
Ho 0.750 0.750 0.500
Er 0.250 0.750 0.500
Er 0.750 0.250 0.500
Th 0.119 0.381 0.000
Th 0.619 0.119 0.000
Th 0.381 0.881 0.000
Th 0.881 0.619 0.000
CELL_PARAMETERS angstrom
-4.250 1.676 -7.453
-5.462 -6.630 1.624
0.095 7.332 6.721
```

V   33.09 Å³ per atom
Size of the total moment   0.0 μB per cell
Space group   I4/mcm
Electronic total energy   -5.9155 eV/atom
DOS at the Fermi energy   11.80 states/eV/f.u.
Energy of formation from the pure elements   0.340 eV/atom



This record from Alexandria describes a geometry-optimized Ba2YBe2O6 structure. The functional is PBE-GGA. Values from VASP.

The structure in Quantum ESPRESSO input format:
```
&SYSTEM
  ibrav = 0, nat = 11, ntyp = 4
/
ATOMIC_SPECIES
Ba 137.33 Ba.upf
Y 88.91 Y.upf
Be 9.01 Be.upf
O 16.00 O.upf
ATOMIC_POSITIONS crystal
Ba 0.782 0.782 0.653
Ba 0.218 0.218 0.347
Y 0.000 0.000 0.000
Be 0.419 0.419 0.743
Be 0.581 0.581 0.257
O 0.740 0.740 0.248
O 0.271 0.740 0.248
O 0.740 0.271 0.248
O 0.260 0.729 0.752
O 0.729 0.260 0.752
O 0.260 0.260 0.752
CELL_PARAMETERS angstrom
5.707 0.000 0.000
2.854 4.943 0.000
2.854 1.648 5.808
```

V   14.89 Å³ per atom
Size of the total moment   1.0 μB per cell
Space group   R-3m
Electronic total energy   -6.9987 eV/atom
DOS at the Fermi energy   8.71 states/eV/f.u.
ΔE_f (raw)   -2.6795 eV per atom



This record from Alexandria describes a geometry-optimized LiRhPb3 structure. The functional is PBE-GGA. Values from VASP.

The structure in Quantum ESPRESSO input format:
```
&SYSTEM
  ibrav = 0, nat = 20, ntyp = 3
/
ATOMIC_SPECIES
Li 6.94 Li.upf
Rh 102.91 Rh.upf
Pb 207.20 Pb.upf
ATOMIC_POSITIONS crystal
Li 0.913 0.560 0.641
Li 0.087 0.440 0.359
Li 0.413 0.940 0.359
Li 0.587 0.060 0.641
Rh 0.982 0.339 0.840
Rh 0.018 0.661 0.160
Rh 0.482 0.161 0.160
Rh 0.518 0.839 0.840
Pb 0.179 0.676 0.903
Pb 0.821 0.324 0.097
Pb 0.679 0.824 0.097
Pb 0.321 0.176 0.903
Pb 0.612 0.456 0.797
Pb 0.388 0.544 0.203
Pb 0.112 0.044 0.203
Pb 0.888 0.956 0.797
Pb 0.155 0.202 0.574
Pb 0.845 0.798 0.426
Pb 0.655 0.298 0.426
Pb 0.345 0.702 0.574
CELL_PARAMETERS angstrom
-6.225 1.103 -2.804
-2.728 -5.664 3.829
-1.015 8.117 5.447
```

V   23.79 Å³ per atom
Size of the total moment   0.0 μB per cell
Space group   P2_1/c
Electronic total energy   -4.1871 eV/atom
DOS at the Fermi energy   2.20 states/eV/f.u.
Energy of formation from the pure elements   -0.109 eV/atom



This record from Alexandria describes a geometry-optimized ScTa2Cu structure. The functional is PBE-GGA. Values from VASP.

The structure in Quantum ESPRESSO input format:
```
&SYSTEM
  ibrav = 0, nat = 4, ntyp = 3
/
ATOMIC_SPECIES
Cu 63.55 Cu.upf
Sc 44.96 Sc.upf
Ta 180.95 Ta.upf
ATOMIC_POSITIONS crystal
Cu 0.500 0.000 0.500
Sc 0.000 0.500 0.500
Ta 0.000 0.000 0.000
Ta 0.500 0.500 0.000
CELL_PARAMETERS angstrom
-1.694 4.579 2.719
1.779 -4.523 2.758
2.506 0.960 0.944
```

V   17.78 Å³ per atom
Size of the total moment   0.0 μB per cell
Space group   C2/m
Electronic total energy   -8.3142 eV/atom
DOS at the Fermi energy   2.99 states/eV/f.u.
Energy of formation from the pure elements   0.219 eV/atom